Entry from Alexandria: TaTiPb2Br after structural relaxation (GGA-PBE).

a = 5.5244 Å, b = 5.5244 Å, c = 4.7155 Å
α = 90.00°, β = 90.00°, γ = 90.00°
With the nearest neighbours (Å) after each atom.
Positions (direct):
Ta (0.0000, 0.0000, 0.0000)  8 Pb 3.63, 4 Br 3.91
Ti (0.5000, 0.5000, 0.5000)  2 Br 2.36
Pb (0.0000, 0.5000, 0.5000)  2 Ti 2.76
Pb (0.5000, 0.0000, 0.5000)  2 Ti 2.76
Br (0.5000, 0.5000, 0.0000)  2 Ti 2.36

Values from the calculation:
Fermi-level density of states: 1.532 states/eV per atom
raw total energy: -23.57 eV per formula unit
energy relative to the elements, uncorrected: 1.054 eV/atom
crystal system: tetragonal


Entry from Alexandria: Pu3Tl4CdO12 after structural relaxation (GGA-PBE).

a = 7.4925 Å, b = 7.4925 Å, c = 7.4925 Å
α = 109.47°, β = 109.47°, γ = 109.47°
With the nearest neighbours (Å) after each atom.
Positions (direct):
Pu (0.0000, 0.5000, 0.5000)  6 O 1.95-2.16
Pu (0.5000, 0.0000, 0.5000)  6 O 1.95-2.16
Pu (0.5000, 0.5000, 0.0000)  6 O 1.95-2.16
Tl (0.0000, 0.0000, 0.5000)  12 O 3.06-3.07
Tl (0.0000, 0.5000, 0.0000)  12 O 3.06-3.07
Tl (0.5000, 0.0000, 0.0000)  12 O 3.06-3.07
Tl (0.5000, 0.5000, 0.5000)  12 O 3.06-3.07
Cd (0.0000, 0.0000, 0.0000)  6 O 2.38
O (0.0000, 0.2748, 0.2748)  1 Pu 1.95
O (0.0000, 0.7252, 0.7252)  1 Pu 1.95
O (0.2500, 0.5000, 0.7500)  2 Pu 2.16
O (0.2500, 0.7500, 0.5000)  2 Pu 2.16
O (0.2748, 0.0000, 0.2748)  1 Pu 1.95
O (0.2748, 0.2748, 0.0000)  1 Pu 1.95
O (0.5000, 0.2500, 0.7500)  2 Pu 2.16
O (0.5000, 0.7500, 0.2500)  2 Pu 2.16
O (0.7252, 0.0000, 0.7252)  1 Pu 1.95
O (0.7252, 0.7252, 0.0000)  1 Pu 1.95
O (0.7500, 0.2500, 0.5000)  2 Pu 2.16
O (0.7500, 0.5000, 0.2500)  2 Pu 2.16

Values from the calculation:
Fermi-level density of states: 0.213 states/eV per atom
raw total energy: -150.30 eV per formula unit
energy relative to the elements, uncorrected: -1.871 eV/atom
crystal system: cubic


Entry from Alexandria: PaZnPb2Se5 after structural relaxation (GGA-PBE).

a = 9.3627 Å, b = 9.3627 Å, c = 13.2470 Å
α = 90.00°, β = 90.00°, γ = 154.25°
With the nearest neighbours (Å) after each atom.
Positions (direct):
Pa (0.2028, 0.7972, 0.5000)  6 Se 2.85-2.86
Pa (0.7972, 0.2028, 0.0000)  6 Se 2.85-2.86
Zn (0.4394, 0.5606, 0.9091)  4 Se 2.43-2.55
Zn (0.5606, 0.4394, 0.4091)  4 Se 2.43-2.55
Pb (0.1113, 0.8887, 0.1275)  6 Se 2.96-3.30
Pb (0.1107, 0.8893, 0.7787)  2 Se 2.94
Pb (0.8893, 0.1107, 0.2787)  2 Se 2.94
Pb (0.8887, 0.1113, 0.6275)  6 Se 2.96-3.30
Se (0.0467, 0.9533, 0.5150)  2 Zn 2.53
Se (0.2837, 0.7163, 0.1454)  2 Pa 2.85, 1 Pb 3.16
Se (0.3057, 0.6943, 0.8541)  1 Zn 2.55, 2 Pa 2.85
Se (0.3582, 0.6418, 0.4742)  1 Pa 2.86, 2 Pb 2.96
Se (0.4995, 0.5005, 0.7456)  1 Zn 2.43
Se (0.5005, 0.4995, 0.2456)  1 Zn 2.43
Se (0.6418, 0.3582, 0.9742)  1 Pa 2.86, 2 Pb 2.96
Se (0.6943, 0.3057, 0.3541)  1 Zn 2.55, 2 Pa 2.85
Se (0.7163, 0.2837, 0.6454)  2 Pa 2.85, 1 Pb 3.16
Se (0.9533, 0.0467, 0.0150)  2 Zn 2.53

Values from the calculation:
Fermi-level density of states: 0.514 states/eV per atom
raw total energy: -42.96 eV per formula unit
energy relative to the elements, uncorrected: -0.817 eV/atom
crystal system: orthorhombic


Entry from Alexandria: Cr2CoPb after structural relaxation (GGA-PBE).

a = 8.3043 Å, b = 8.3043 Å, c = 8.3043 Å
α = 20.87°, β = 20.87°, γ = 20.87°
With the nearest neighbours (Å) after each atom.
Positions (direct):
Cr (0.0000, 0.0000, 0.0000)  3 Cr 2.35
Cr (0.2683, 0.2683, 0.2683)  3 Cr 2.35, 3 Co 2.46
Co (0.5299, 0.5299, 0.5299)  3 Cr 2.46
Pb (0.7707, 0.7707, 0.7707)  3 Co 2.85, 6 Pb 3.01, 3 Cr 3.07

Values from the calculation:
Fermi-level density of states: 0.944 states/eV per atom
raw total energy: -27.28 eV per formula unit
crystal system: trigonal
ΔE_f: 0.695 eV per atom


Entry from Alexandria: CeGdZnBi after structural relaxation (GGA-PBE).

a = 5.3661 Å, b = 5.3661 Å, c = 5.3661 Å
α = 60.00°, β = 60.00°, γ = 60.00°
With the nearest neighbours (Å) after each atom.
Positions (direct):
Ce (0.0000, 0.0000, 0.0000)  4 Bi 3.29, 4 Zn 3.29
Gd (0.5000, 0.5000, 0.5000)  4 Bi 3.29, 4 Zn 3.29
Zn (0.2500, 0.2500, 0.2500)  4 Gd 3.29, 4 Ce 3.29
Bi (0.7500, 0.7500, 0.7500)  4 Gd 3.29, 4 Ce 3.29

Values from the calculation:
Fermi-level density of states: 2.314 states/eV per atom
raw total energy: -26.72 eV per formula unit
crystal system: cubic
ΔE_f: -0.388 eV per atom


Entry from Alexandria: Sm2InBi after structural relaxation (GGA-PBE).

a = 12.5539 Å, b = 12.5539 Å, c = 4.4661 Å
α = 90.00°, β = 90.00°, γ = 158.67°
With the nearest neighbours (Å) after each atom.
Positions (direct):
Sm (0.0623, 0.9377, 0.7500)  1 Bi 3.13, 6 In 3.26-3.45
Sm (0.3190, 0.6810, 0.7500)  5 Bi 3.20-3.23, 1 In 3.45
Sm (0.6810, 0.3190, 0.2500)  5 Bi 3.20-3.23, 1 In 3.45
Sm (0.9377, 0.0623, 0.2500)  1 Bi 3.13, 6 In 3.26-3.45
In (0.4589, 0.5411, 0.7500)  2 In 3.02, 4 Sm 3.26
In (0.5411, 0.4589, 0.2500)  2 In 3.02, 4 Sm 3.26
Bi (0.1892, 0.8108, 0.7500)  6 Sm 3.13-3.23
Bi (0.8108, 0.1892, 0.2500)  6 Sm 3.13-3.23

Values from the calculation:
Fermi-level density of states: 0.593 states/eV per atom
relative energy among the computed polymorphs: 0.000 eV/atom
raw total energy: -18.74 eV per formula unit
crystal system: orthorhombic
ΔE_f: -0.669 eV per atom


Entry from Alexandria: CoPbAu2I after structural relaxation (GGA-PBE).

a = 5.4277 Å, b = 5.4277 Å, c = 4.6203 Å
α = 90.00°, β = 90.00°, γ = 90.00°
With the nearest neighbours (Å) after each atom.
Positions (direct):
Co (0.0000, 0.0000, 0.0000)  2 I 2.31
Pb (0.5000, 0.5000, 0.0000)  8 Au 3.56, 4 Co 3.84
Au (0.0000, 0.5000, 0.5000)  2 I 2.71
Au (0.5000, 0.0000, 0.5000)  2 I 2.71
I (0.0000, 0.0000, 0.5000)  2 Co 2.31

Values from the calculation:
Fermi-level density of states: 0.928 states/eV per atom
raw total energy: -14.38 eV per formula unit
energy relative to the elements, uncorrected: 0.908 eV/atom
crystal system: tetragonal


Entry from Alexandria: YTa3Ni after structural relaxation (GGA-PBE).

a = 4.8805 Å, b = 4.8805 Å, c = 4.8805 Å
α = 90.00°, β = 90.00°, γ = 90.00°
With the nearest neighbours (Å) after each atom.
Positions (direct):
Y (0.0000, 0.0000, 0.0000)  6 Ta 2.44
Ta (0.0000, 0.0000, 0.5000)  2 Y 2.44
Ta (0.0000, 0.5000, 0.0000)  2 Y 2.44
Ta (0.5000, 0.0000, 0.0000)  2 Y 2.44
Ni (0.5000, 0.5000, 0.5000)  12 Ta 3.45

Values from the calculation:
Fermi-level density of states: 1.854 states/eV per atom
relative energy among the computed polymorphs: 1.971 eV/atom
raw total energy: -34.40 eV per formula unit
crystal system: cubic
ΔE_f: 2.680 eV per atom


Q: Which of these has the lowest Fermi-level density of states?
A: Pu3Tl4CdO12


Q: The highest raw total energy belongs to which entry?
A: CoPbAu2I